1.
Ca2YBiO after structural relaxation, computed with PBE-GGA.

Its space group is P4/mmm (123). Its mass density is 5.63 g cm⁻³. For the volume, the calculation gives 116.2 Å³/f.u. As for the calculated total energy: -5.26 eV/atom.

a b c (Å): 4.9512 4.9512 4.7383
angles (deg): 90.00 90.00 90.00
Closest atoms and distances in Å follow each position.
Fractional positions:
Ca  0.0000  0.5000  0.0000  2 O 2.48
Ca  0.5000  0.0000  0.0000  2 O 2.48
Y  0.0000  0.0000  0.5000  2 O 2.37
Bi  0.5000  0.5000  0.5000  8 Ca 3.43, 4 Y 3.50
O  0.0000  0.0000  0.0000  2 Y 2.37, 4 Ca 2.48

2.
Ca2YBiO5 after structural relaxation, computed with PBE-GGA.

Its space group is Cc (9). Its mass density is 5.24 g cm⁻³. For the volume, the calculation gives 145.2 Å³/f.u. As for the calculated total energy: -6.87 eV/atom.

a b c (Å): 9.0928 9.0928 6.0936
angles (deg): 109.58 109.58 38.06
Closest atoms and distances in Å follow each position.
Fractional positions:
Ca  0.0059  0.4604  0.2819  5 O 2.33-2.43
Ca  0.2091  0.7909  0.5000  4 O 2.28-2.37
Ca  0.4604  0.0059  0.7819  5 O 2.33-2.43
Ca  0.7909  0.2091  0.0000  4 O 2.28-2.37
Y  0.3946  0.8396  0.1267  5 O 2.21-2.35
Y  0.8396  0.3946  0.6267  5 O 2.21-2.35
Bi  0.1273  0.6157  0.9207  4 O 2.22-2.48
Bi  0.6157  0.1273  0.4207  4 O 2.22-2.48
O  0.0606  0.1686  0.3052  2 Y 2.25-2.35, 2 Ca 2.33-2.36
O  0.1686  0.0606  0.8052  2 Y 2.25-2.35, 2 Ca 2.33-2.36
O  0.2914  0.3213  0.6245  2 Bi 2.22-2.48, 2 Ca 2.33-2.38
O  0.3213  0.2914  0.1245  2 Bi 2.22-2.48, 2 Ca 2.33-2.38
O  0.4039  0.5856  0.1107  1 Y 2.21, 1 Bi 2.22, 1 Ca 2.37
O  0.5856  0.4039  0.6107  1 Y 2.21, 1 Bi 2.22, 1 Ca 2.37
O  0.6517  0.7089  0.4609  2 Y 2.25-2.28, 2 Ca 2.34-2.43
O  0.7089  0.6517  0.9609  2 Y 2.25-2.28, 2 Ca 2.34-2.43
O  0.8767  0.9796  0.2122  1 Bi 2.22, 2 Ca 2.28-2.34
O  0.9796  0.8767  0.7122  1 Bi 2.22, 2 Ca 2.28-2.34

3.
CaY2BiO6 after structural relaxation, computed with PBE-GGA.

Its space group is R3 (146). Its mass density is 5.66 g cm⁻³. For the volume, the calculation gives 153.4 Å³/f.u. As for the calculated total energy: -7.50 eV/atom.

a b c (Å): 6.1460 6.1460 6.1460
angles (deg): 57.16 57.16 57.16
Closest atoms and distances in Å follow each position.
Fractional positions:
Ca  0.0000  0.0000  0.0000  6 O 2.34-2.47
Y  0.2807  0.2807  0.2807  6 O 2.26-2.36
Y  0.7814  0.7814  0.7814  6 O 2.25-2.37
Bi  0.4923  0.4923  0.4923  6 O 2.30-2.31
O  0.0971  0.6662  0.4038  2 Y 2.25-2.36, 1 Bi 2.31, 1 Ca 2.34
O  0.1791  0.5863  0.8916  2 Y 2.26-2.37, 1 Bi 2.30, 1 Ca 2.47
O  0.4038  0.0971  0.6662  2 Y 2.25-2.36, 1 Bi 2.31, 1 Ca 2.34
O  0.5863  0.8916  0.1791  2 Y 2.26-2.37, 1 Bi 2.30, 1 Ca 2.47
O  0.6662  0.4038  0.0971  2 Y 2.25-2.36, 1 Bi 2.31, 1 Ca 2.34
O  0.8916  0.1791  0.5863  2 Y 2.26-2.37, 1 Bi 2.30, 1 Ca 2.47